A relaxed K3NaP2Pt2 crystal, computed with PBE-GGA.

Final energy = -31.32 eV for the cell shown
Total magnetic moment = 0.00 μB per cell
Space group = No. 6

Geometry as POSCAR:
```
K3NaP2Pt2
1.0
6.106 0.000 0.000
0.000 5.718 0.000
-1.717 0.000 5.920
K Na P Pt
3 1 2 2
direct
0.532 0.500 0.185 K
0.172 0.500 0.517 K
0.474 0.000 0.825 K
0.854 0.000 0.523 Na
0.204 0.000 0.258 P
0.742 0.500 0.749 P
0.010 0.249 0.972 Pt
0.010 0.751 0.972 Pt
```

***

A relaxed Pr2Sc crystal, computed with PBE-GGA.

Total magnetic moment = 0.71 μB per cell
Space group = No. 227
E_form = 2.078 eV per atom

Geometry as POSCAR:
```
Pr2Sc
1.0
4.404 2.543 7.192
-4.404 2.543 7.192
0.000 -5.086 7.192
Pr Sc
4 2
direct
0.375 0.375 0.375 Pr
0.875 0.375 0.375 Pr
0.375 0.875 0.375 Pr
0.375 0.375 0.875 Pr
0.250 0.250 0.250 Sc
0.500 0.500 0.500 Sc
```

***

A relaxed SrHfZr crystal, computed with PBE-GGA.

Final energy = -15.10 eV for the cell shown
Total magnetic moment = 0.01 μB per cell
Space group = No. 216

Geometry as POSCAR:
```
SrHfZr
1.0
0.000 3.630 3.630
3.630 0.000 3.630
3.630 3.630 0.000
Hf Sr Zr
1 1 1
direct
0.250 0.250 0.250 Hf
0.000 0.000 0.000 Sr
0.750 0.750 0.750 Zr
```

***

A relaxed Hf2Nb4Sn3C3 crystal, computed with PBE-GGA.

Final energy = -212.73 eV for the cell shown
Total magnetic moment = 0.00 μB per cell
Space group = No. 15

Geometry as POSCAR:
```
Hf2Nb4Sn3C3
1.0
4.912 -2.838 0.000
4.912 2.838 0.000
-3.286 0.000 14.190
C Hf Nb Sn
6 4 8 6
direct
0.666 0.168 0.000 C
0.000 0.500 0.000 C
0.334 0.832 0.000 C
0.168 0.666 0.500 C
0.500 0.000 0.500 C
0.832 0.334 0.500 C
0.363 0.529 0.088 Hf
0.471 0.637 0.412 Hf
0.529 0.363 0.588 Hf
0.637 0.471 0.912 Hf
0.027 0.195 0.082 Nb
0.694 0.860 0.082 Nb
0.140 0.306 0.418 Nb
0.805 0.973 0.418 Nb
0.195 0.027 0.582 Nb
0.860 0.694 0.582 Nb
0.306 0.140 0.918 Nb
0.973 0.805 0.918 Nb
0.416 0.236 0.250 Sn
0.069 0.931 0.250 Sn
0.764 0.584 0.250 Sn
0.236 0.416 0.750 Sn
0.931 0.069 0.750 Sn
0.584 0.764 0.750 Sn
```

***

Please write out number 1 again, unchanged.
A relaxed K3NaP2Pt2 crystal, computed with PBE-GGA.

Final energy = -31.32 eV for the cell shown
Total magnetic moment = 0.00 μB per cell
Space group = No. 6

Geometry as POSCAR:
```
K3NaP2Pt2
1.0
6.106 0.000 0.000
0.000 5.718 0.000
-1.717 0.000 5.920
K Na P Pt
3 1 2 2
direct
0.532 0.500 0.185 K
0.172 0.500 0.517 K
0.474 0.000 0.825 K
0.854 0.000 0.523 Na
0.204 0.000 0.258 P
0.742 0.500 0.749 P
0.010 0.249 0.972 Pt
0.010 0.751 0.972 Pt
```

***

Please write out number 3 again, unchanged.
A relaxed SrHfZr crystal, computed with PBE-GGA.

Final energy = -15.10 eV for the cell shown
Total magnetic moment = 0.01 μB per cell
Space group = No. 216

Geometry as POSCAR:
```
SrHfZr
1.0
0.000 3.630 3.630
3.630 0.000 3.630
3.630 3.630 0.000
Hf Sr Zr
1 1 1
direct
0.250 0.250 0.250 Hf
0.000 0.000 0.000 Sr
0.750 0.750 0.750 Zr
```

***

Question: Among the records above, which one has the highest total magnetic moment?
Answer: Pr2Sc